No. 1
Material: Pm3CoICl
Method: DFT, GGA-PBE
State: relaxed

Results
Size of the total moment (μB/f.u.): 0.36
VASP energy (eV per atom): -4.965
D(E_F) (states/eV/cell): 8.8
ΔE_f (raw) (eV/atom): -0.839
V (Å³/cell): 372

Cell lengths 9.557, 4.007, 9.733 Å; angles 90.00, 93.72, 90.00 degrees
Sites, in units of the cell vectors:
Pm 0.081 0.250 0.355
Pm 0.146 0.250 0.913
Pm 0.313 0.750 0.641
Pm 0.687 0.250 0.359
Pm 0.854 0.750 0.087
Pm 0.919 0.750 0.645
Co 0.120 0.250 0.644
Co 0.880 0.750 0.356
I 0.388 0.750 0.323
I 0.612 0.250 0.677
Cl 0.359 0.750 0.930
Cl 0.641 0.250 0.070

=====

No. 2
Material: Pr6Co2ICl3
Method: DFT, GGA-PBE
State: relaxed

Results
Size of the total moment (μB/f.u.): 0.00
VASP energy (eV per atom): -5.070
D(E_F) (states/eV/cell): 11.1
ΔE_f (raw) (eV/atom): -0.905
V (Å³/cell): 337

Cell lengths 9.522, 9.522, 9.088 Å; angles 100.59, 100.59, 24.59 degrees
Sites, in units of the cell vectors:
Pr 0.024 0.024 0.289
Pr 0.318 0.318 0.860
Pr 0.323 0.323 0.444
Pr 0.677 0.677 0.556
Pr 0.682 0.682 0.140
Pr 0.976 0.976 0.711
Co 0.170 0.170 0.335
Co 0.830 0.830 0.665
I 0.500 0.500 0.000
Cl 0.153 0.153 0.829
Cl 0.500 0.500 0.500
Cl 0.847 0.847 0.171

=====

No. 3
Material: Co2PtICl
Method: DFT, GGA-PBE
State: relaxed

Results
Size of the total moment (μB/f.u.): 4.94
VASP energy (eV per atom): -3.781
D(E_F) (states/eV/cell): 6.5
ΔE_f (raw) (eV/atom): 0.949
V (Å³/cell): 126

Cell lengths 4.911, 4.911, 5.210 Å; angles 90.00, 90.00, 90.00 degrees
Sites, in units of the cell vectors:
Co 0.000 0.500 0.000
Co 0.500 0.000 0.000
Pt 0.000 0.000 0.000
I 0.000 0.000 0.500
Cl 0.500 0.500 0.500